A geometry-optimized LiTa2OsN structure. Source: the Alexandria database, functional PBE-GGA.

Unit cell a=4.2179 b=4.2179 c=4.0270 alpha=90.00 beta=90.00 gamma=90.00
Atoms (fractional coordinates):
Li 0.0000 0.0000 0.0000
Ta 0.0000 0.5000 0.5000
Ta 0.5000 0.0000 0.5000
Os 0.5000 0.5000 0.0000
N 0.5000 0.5000 0.5000

The total energy comes out at -0.6688 Ry/atom. As for the energy above the most stable polymorph in this dataset: 443 meV per atom. Its space group is No. 123. The calculation puts the formation energy (no corrections) at -64.2 meV per atom.